1.
The following is a PBE calculation of a geometry-optimized ScGaCoW structure, from OQMD.

a b c (Å): 4.4428 4.4428 4.4428
angles (deg): 60.00 60.00 60.00
Closest atoms and distances in Å follow each position.
Fractional coordinates of all 4 atoms:
Sc 0.0000 0.0000 0.0000  4 W 2.72, 4 Ga 2.72
Ga 0.2500 0.2500 0.2500  4 Co 2.72, 4 Sc 2.72
Co 0.5000 0.5000 0.5000  4 W 2.72, 4 Ga 2.72
W 0.7500 0.7500 0.7500  4 Co 2.72, 4 Sc 2.72

Polymorph energy (0 for the lowest one) ... 0.000 eV per atom
ρ ... 9.57 Mg/m³

---

2.
The following is a PBE calculation of a geometry-optimized YScGaCo structure, from OQMD.

a b c (Å): 4.6304 4.6304 4.6304
angles (deg): 60.00 60.00 60.00
Closest atoms and distances in Å follow each position.
Fractional coordinates of all 4 atoms:
Y 0.0000 0.0000 0.0000  4 Co 2.84, 4 Sc 2.84
Sc 0.2500 0.2500 0.2500  4 Ga 2.84, 4 Y 2.84
Ga 0.5000 0.5000 0.5000  4 Co 2.84, 4 Sc 2.84
Co 0.7500 0.7500 0.7500  4 Y 2.84, 4 Ga 2.84

Polymorph energy (0 for the lowest one) ... 0.000 eV per atom
ρ ... 6.21 Mg/m³

---

3.
The following is a PBE calculation of a geometry-optimized Ga2CoSe4 structure, from OQMD.

a b c (Å): 7.4794 7.4794 10.6109
angles (deg): 90.00 90.00 90.00
Closest atoms and distances in Å follow each position.
Fractional coordinates of all 28 atoms:
Ga 0.0000 0.2574 0.0000  6 Se 2.61-2.63
Ga 0.0000 0.7426 0.5000  6 Se 2.61-2.63
Ga 0.2555 0.2555 0.3750  4 Se 2.53
Ga 0.2555 0.7445 0.1250  4 Se 2.53
Ga 0.2574 0.0000 0.7500  6 Se 2.61-2.63
Ga 0.7426 0.0000 0.2500  6 Se 2.61-2.63
Ga 0.7445 0.2555 0.6250  4 Se 2.53
Ga 0.7445 0.7445 0.8750  4 Se 2.53
Co 0.2532 0.5000 0.7500  6 Se 2.42-2.43
Co 0.5000 0.2532 0.0000  6 Se 2.42-2.43
Co 0.5000 0.7468 0.5000  6 Se 2.42-2.43
Co 0.7468 0.5000 0.2500  6 Se 2.42-2.43
Se 0.0301 0.2654 0.7527  1 Co 2.42, 3 Ga 2.53-2.63
Se 0.0301 0.7346 0.7473  1 Co 2.42, 3 Ga 2.53-2.63
Se 0.2654 0.0301 0.9973  1 Co 2.42, 3 Ga 2.53-2.63
Se 0.2654 0.9699 0.5027  1 Co 2.42, 3 Ga 2.53-2.63
Se 0.2678 0.4791 0.9778  2 Co 2.42-2.43, 2 Ga 2.53-2.61
Se 0.2678 0.5209 0.5222  2 Co 2.42-2.43, 2 Ga 2.53-2.61
Se 0.4791 0.2678 0.7722  2 Co 2.42-2.43, 2 Ga 2.53-2.61
Se 0.4791 0.7322 0.7278  2 Co 2.42-2.43, 2 Ga 2.53-2.61
Se 0.5209 0.2678 0.2278  2 Co 2.42-2.43, 2 Ga 2.53-2.61
Se 0.5209 0.7322 0.2722  2 Co 2.42-2.43, 2 Ga 2.53-2.61
Se 0.7322 0.4791 0.0222  2 Co 2.42-2.43, 2 Ga 2.53-2.61
Se 0.7322 0.5209 0.4778  2 Co 2.42-2.43, 2 Ga 2.53-2.61
Se 0.7346 0.0301 0.0027  1 Co 2.42, 3 Ga 2.53-2.63
Se 0.7346 0.9699 0.4973  1 Co 2.42, 3 Ga 2.53-2.63
Se 0.9699 0.2654 0.2473  1 Co 2.42, 3 Ga 2.53-2.63
Se 0.9699 0.7346 0.2527  1 Co 2.42, 3 Ga 2.53-2.63

Total DFT energy (no corrections) ... -119.648 eV for the cell shown
ρ ... 5.75 Mg/m³

---

4.
The following is a PBE calculation of a geometry-optimized Ga2CoSi structure, from OQMD.

a b c (Å): 4.3109 4.3109 4.3109
angles (deg): 60.00 60.00 60.00
Closest atoms and distances in Å follow each position.
Fractional coordinates of all 4 atoms:
Ga 0.0000 0.0000 0.0000  4 Co 2.64, 4 Ga 2.64
Ga 0.2500 0.2500 0.2500  4 Si 2.64, 4 Ga 2.64
Co 0.7500 0.7500 0.7500  4 Si 2.64, 4 Ga 2.64
Si 0.5000 0.5000 0.5000  4 Co 2.64, 4 Ga 2.64

Total DFT energy (no corrections) ... -17.629 eV for the cell shown
ρ ... 6.64 Mg/m³

---

5.
The following is a PBE calculation of a geometry-optimized GaCoSi2 structure, from OQMD.

a b c (Å): 4.2321 4.2321 4.2321
angles (deg): 60.00 60.00 60.00
Closest atoms and distances in Å follow each position.
Fractional coordinates of all 4 atoms:
Ga 0.0000 0.0000 0.0000  4 Si 2.59, 4 Co 2.59
Co 0.2500 0.2500 0.2500  4 Si 2.59, 4 Ga 2.59
Si 0.5000 0.5000 0.5000  4 Co 2.59, 4 Si 2.59
Si 0.7500 0.7500 0.7500  4 Ga 2.59, 4 Si 2.59

Total DFT energy (no corrections) ... -19.885 eV for the cell shown
ρ ... 5.73 Mg/m³

---

6.
The following is a PBE calculation of a geometry-optimized GaCoSi3 structure, from OQMD.

a b c (Å): 13.6247 13.6247 3.1896
angles (deg): 90.00 90.00 164.47
Closest atoms and distances in Å follow each position.
Fractional coordinates of all 10 atoms:
Ga 0.1280 0.8720 0.0000  3 Si 2.47-2.69
Ga 0.8720 0.1280 0.0000  3 Si 2.47-2.69
Co 0.2839 0.7161 0.5000  6 Si 2.36-2.44, 2 Co 2.60
Co 0.7161 0.2839 0.5000  6 Si 2.36-2.44, 2 Co 2.60
Si 0.0478 0.9522 0.5000  5 Si 2.44-2.58, 2 Ga 2.69
Si 0.2194 0.7806 0.0000  6 Co 2.36-2.44, 1 Ga 2.47, 2 Si 2.47
Si 0.4553 0.5447 0.0000  5 Si 2.42-2.44
Si 0.5447 0.4553 0.0000  5 Si 2.42-2.44
Si 0.7806 0.2194 0.0000  6 Co 2.36-2.44, 1 Ga 2.47, 2 Si 2.47
Si 0.9522 0.0478 0.5000  5 Si 2.44-2.58, 2 Ga 2.69

Total DFT energy (no corrections) ... -50.663 eV for the cell shown
ρ ... 4.46 Mg/m³